Record 1
# Tb2ErZn GGA-PBE optimized geometry
# - DOS(E_F): 4.30 states/eV/cell
# - Space group: P4/mmm (123)
# - Energy of formation: -0.02 eV per formula unit
# - Crystal system: tetragonal
# - Calculated total energy: -3.7805 eV per atom
# - Energy relative to the lowest polymorph listed for this composition: 151 meV per atom
data_Tb2ErZn
_symmetry_space_group_name_H-M 'P 1'
_symmetry_Int_Tables_number 1
_cell_length_a 3.7664
_cell_length_b 5.3422
_cell_length_c 5.3422
_cell_angle_alpha 90.00
_cell_angle_beta 90.00
_cell_angle_gamma 90.00
loop_
_symmetry_equiv_pos_as_xyz
'x,y,z'
loop_
_atom_site_label
_atom_site_fract_x
_atom_site_fract_y
_atom_site_fract_z
_atom_site_occupancy
Er1 0.5000 0.5000 0.5000 1
Zn1 0.5000 0.0000 0.0000 1
Tb1 0.0000 0.0000 0.5000 1
Tb2 0.0000 0.5000 0.0000 1

Record 2
# Li3As GGA-PBE optimized geometry
# - DOS(E_F): 0.11 states/eV/cell
# - Space group: P-3c1 (165)
# - Energy of formation: -2.67 eV per formula unit
# - Crystal system: trigonal
# - Calculated total energy: -3.2645 eV per atom
data_Li3As
_symmetry_space_group_name_H-M 'P 1'
_symmetry_Int_Tables_number 1
_cell_length_a 7.5712
_cell_length_b 7.5597
_cell_length_c 7.5597
_cell_angle_alpha 120.00
_cell_angle_beta 90.00
_cell_angle_gamma 90.00
loop_
_symmetry_equiv_pos_as_xyz
'x,y,z'
loop_
_atom_site_label
_atom_site_fract_x
_atom_site_fract_y
_atom_site_fract_z
_atom_site_occupancy
As1 0.2500 0.3214 0.0000 1
Li1 0.5884 0.3347 0.9855 1
Li2 0.9116 0.3492 0.0145 1
Li3 0.0884 0.0145 0.6653 1
Li4 0.7275 0.6667 0.3333 1
Li5 0.4116 0.6653 0.0145 1
Li6 0.9116 0.9855 0.3347 1
As2 0.2500 0.6786 0.6786 1
Li7 0.5884 0.6508 0.6653 1
Li8 0.0884 0.6508 0.9855 1
Li9 0.4116 0.9855 0.6508 1
As3 0.2500 0.0000 0.3214 1
Li10 0.0000 0.0000 0.0000 1
Li11 0.7725 0.3333 0.6667 1
Li12 0.0884 0.3347 0.3492 1
Li13 0.2275 0.6667 0.3333 1
As4 0.7500 0.3214 0.3214 1
Li14 0.5884 0.0145 0.3492 1
As5 0.7500 0.6786 0.0000 1
Li15 0.4116 0.3492 0.3347 1
As6 0.7500 0.0000 0.6786 1
Li16 0.5000 0.0000 0.0000 1
Li17 0.2725 0.3333 0.6667 1
Li18 0.9116 0.6653 0.6508 1

Record 3
# NaTb2Sn GGA-PBE optimized geometry
# - DOS(E_F): 2.98 states/eV/cell
# - Space group: P4/mmm (123)
# - Energy of formation: -1.11 eV per formula unit
# - Crystal system: tetragonal
# - Calculated total energy: -3.9238 eV per atom
data_NaTb2Sn
_symmetry_space_group_name_H-M 'P 1'
_symmetry_Int_Tables_number 1
_cell_length_a 4.4369
_cell_length_b 4.9983
_cell_length_c 4.9983
_cell_angle_alpha 90.00
_cell_angle_beta 90.00
_cell_angle_gamma 90.00
loop_
_symmetry_equiv_pos_as_xyz
'x,y,z'
loop_
_atom_site_label
_atom_site_fract_x
_atom_site_fract_y
_atom_site_fract_z
_atom_site_occupancy
Sn1 0.5000 0.5000 0.5000 1
Tb1 0.0000 0.0000 0.5000 1
Tb2 0.0000 0.5000 0.0000 1
Na1 0.5000 0.0000 0.0000 1

Please write out number 2 again, unchanged.
# Li3As GGA-PBE optimized geometry
# - DOS(E_F): 0.11 states/eV/cell
# - Space group: P-3c1 (165)
# - Energy of formation: -2.67 eV per formula unit
# - Crystal system: trigonal
# - Calculated total energy: -3.2645 eV per atom
data_Li3As
_symmetry_space_group_name_H-M 'P 1'
_symmetry_Int_Tables_number 1
_cell_length_a 7.5712
_cell_length_b 7.5597
_cell_length_c 7.5597
_cell_angle_alpha 120.00
_cell_angle_beta 90.00
_cell_angle_gamma 90.00
loop_
_symmetry_equiv_pos_as_xyz
'x,y,z'
loop_
_atom_site_label
_atom_site_fract_x
_atom_site_fract_y
_atom_site_fract_z
_atom_site_occupancy
As1 0.2500 0.3214 0.0000 1
Li1 0.5884 0.3347 0.9855 1
Li2 0.9116 0.3492 0.0145 1
Li3 0.0884 0.0145 0.6653 1
Li4 0.7275 0.6667 0.3333 1
Li5 0.4116 0.6653 0.0145 1
Li6 0.9116 0.9855 0.3347 1
As2 0.2500 0.6786 0.6786 1
Li7 0.5884 0.6508 0.6653 1
Li8 0.0884 0.6508 0.9855 1
Li9 0.4116 0.9855 0.6508 1
As3 0.2500 0.0000 0.3214 1
Li10 0.0000 0.0000 0.0000 1
Li11 0.7725 0.3333 0.6667 1
Li12 0.0884 0.3347 0.3492 1
Li13 0.2275 0.6667 0.3333 1
As4 0.7500 0.3214 0.3214 1
Li14 0.5884 0.0145 0.3492 1
As5 0.7500 0.6786 0.0000 1
Li15 0.4116 0.3492 0.3347 1
As6 0.7500 0.0000 0.6786 1
Li16 0.5000 0.0000 0.0000 1
Li17 0.2725 0.3333 0.6667 1
Li18 0.9116 0.6653 0.6508 1